## TiZn2Ge2 (meta-GGA SCAN)

Data for a PBEsol-optimized structure of TiZn2Ge2.

Computed properties:
The energy relative to the elements is 0.0406 eV/atom. The raw total energy is -16.21 eV per atom.

abc: 3.5272 3.5272 13.0449
angles: 90.00 90.00 90.00
With the nearest neighbours (Å) after each atom.
Space group I4/mmm (No. 139)
Symmetry-distinct sites (fractional):
Ti1 0.0000 0.0000 0.0000  8 Ge 2.80
Zn1 0.0000 0.5000 0.2500  4 Zn 2.49, 4 Ge 2.66
Ge1 0.0000 0.0000 0.4025  1 Ge 2.54, 4 Zn 2.66, 4 Ti 2.80